# 1
VASP calculation (PBE) on ErThGe2 after structural relaxation.

Results
calculated total energy = -23.5 eV for the cell shown
SG = P4/mmm (123)
size of the total moment = 0.00 μB per formula unit
DFT formation energy = -582.5 meV/atom

The structure in POSCAR format:
```
ErThGe2
1.0
4.0845 0.0000 0.0000
0.0000 4.8025 0.0000
0.0000 0.0000 4.8025
Ge Th Er
2 1 1
Direct
0.0000 0.0000 0.5000
0.0000 0.5000 0.0000
0.5000 0.0000 0.0000
0.5000 0.5000 0.5000
```



# 2
VASP calculation (PBE) on LiVSi after structural relaxation.

Results
raw formation energy = -0.17 eV/f.u.
calculated total energy = -33.3 eV for the cell shown
SG = Fmmm (69)
size of the total moment = 0.00 μB per formula unit

The structure in POSCAR format:
```
LiVSi
1.0
-1.8014 4.2766 -1.1206
-1.5498 1.0703 -3.5927
-5.8384 0.4877 1.0780
V Li Si
2 2 2
Direct
0.7500 0.5000 0.5000
0.2500 0.5000 0.5000
0.8329 0.3342 0.0000
0.1671 0.6658 0.0000
0.6112 0.0000 0.7776
0.3888 0.0000 0.2224
```



# 3
VASP calculation (PBE) on La6Cu2Hg after structural relaxation.

Results
calculated total energy = -79.1 eV for the cell shown
SG = Immm (71)
size of the total moment = 0.00 μB per formula unit
DFT formation energy = -164.6 meV/atom

The structure in POSCAR format:
```
La6Cu2Hg
1.0
8.4399 -0.0445 -2.9419
-4.5495 7.2560 -2.5575
0.0360 0.0445 8.9378
La Cu Hg
12 4 2
Direct
0.5400 0.7197 0.8203
0.4600 0.2803 0.1797
0.1005 0.2803 0.8203
0.8995 0.7197 0.1797
0.8071 0.7571 0.5642
0.1929 0.2429 0.4358
0.1929 0.7571 0.9500
0.8071 0.2429 0.0500
0.6958 0.3715 0.6757
0.3042 0.6285 0.3243
0.3042 0.9799 0.6757
0.6958 0.0201 0.3243
0.5000 0.3821 0.8821
0.5000 0.6179 0.1179
0.6447 0.0000 0.6447
0.3553 0.0000 0.3553
0.0000 0.5000 0.5000
0.0000 0.0000 0.0000
```



# 4
VASP calculation (PBE) on Sm2YIn6 after structural relaxation.

Results
calculated total energy = -35.1 eV for the cell shown
SG = Immm (71)
size of the total moment = 0.00 μB per formula unit
DFT formation energy = -304.3 meV/atom
energy above the most stable polymorph in this dataset = 0.1339 eV per atom

The structure in POSCAR format:
```
Sm2YIn6
1.0
-4.5089 -0.0941 -1.1469
-2.3137 -8.3408 0.3398
-3.9431 -4.2860 6.4125
Sm Y In
2 1 6
Direct
0.8796 0.6204 0.6204
0.1204 0.3796 0.3796
0.0000 0.0000 0.0000
0.6895 0.0076 0.6133
0.3105 0.9924 0.3867
0.3105 0.3867 0.9924
0.5000 0.7012 0.2988
0.5000 0.2988 0.7012
0.6895 0.6133 0.0076
```



# 5
VASP calculation (PBE) on Li2IrAu after structural relaxation.

Results
calculated total energy = -17.0 eV for the cell shown
SG = Cmmm (65)
size of the total moment = 0.00 μB per formula unit
DFT formation energy = -257.7 meV/atom

The structure in POSCAR format:
```
Li2IrAu
1.0
-2.6076 -0.4959 0.5416
1.1577 -1.8410 -1.6153
2.3462 -4.6775 7.0127
Au Ir Li
1 1 2
Direct
0.5000 0.5000 0.2500
0.5000 0.5000 0.7500
0.0000 0.0000 0.9866
0.0000 0.0000 0.5134
```



# 6
VASP calculation (PBE) on Er4ThGe4 after structural relaxation.

Results
calculated total energy = -98.7 eV for the cell shown
SG = I4/m (87)
size of the total moment = 0.00 μB per formula unit
DFT formation energy = -581.5 meV/atom

The structure in POSCAR format:
```
Er4ThGe4
1.0
-3.9463 -0.3292 4.1714
6.2845 -3.7907 5.6462
2.4260 8.4316 2.9606
Er Th Ge
8 2 8
Direct
0.5001 0.3091 0.8967
0.0001 0.6033 0.8091
0.5001 0.6909 0.1033
0.9999 0.1909 0.6033
0.4999 0.8967 0.6909
0.9999 0.8091 0.3967
0.0001 0.3967 0.1909
0.4999 0.1033 0.3091
0.0000 0.0000 0.0000
0.5000 0.5000 0.5000
0.4999 0.8003 0.3933
0.4999 0.1997 0.6067
0.9999 0.8933 0.6997
0.0001 0.3003 0.8933
0.0001 0.6997 0.1067
0.5001 0.3933 0.1997
0.5001 0.6067 0.8003
0.9999 0.1067 0.3003
```



Repeat the first record exactly.
VASP calculation (PBE) on ErThGe2 after structural relaxation.

Results
calculated total energy = -23.5 eV for the cell shown
SG = P4/mmm (123)
size of the total moment = 0.00 μB per formula unit
DFT formation energy = -582.5 meV/atom

The structure in POSCAR format:
```
ErThGe2
1.0
4.0845 0.0000 0.0000
0.0000 4.8025 0.0000
0.0000 0.0000 4.8025
Ge Th Er
2 1 1
Direct
0.0000 0.0000 0.5000
0.0000 0.5000 0.0000
0.5000 0.0000 0.0000
0.5000 0.5000 0.5000
```